! NaHfMn2 (GGA-PBE, relaxed); values from VASP
! Energy above the most stable polymorph in this dataset = 1.02 eV/f.u.
! N(E_F) = 1.60 states/eV/atom
! Total magnetic moment = 1.45 μB per atom
! Symmetry = I-42d, No. 122
&SYSTEM
  ibrav = 0, nat = 8, ntyp = 3
/
ATOMIC_SPECIES
Na 22.99 Na.upf
Mn 54.94 Mn.upf
Hf 178.49 Hf.upf
ATOMIC_POSITIONS angstrom
Na -2.0974 0.0596 -4.6734
Na -1.3634 -2.0969 -7.8381
Mn -4.5055 0.1909 -3.5773
Mn -0.1168 -1.4390 -5.5951
Mn -3.7818 -1.9653 -6.7648
Mn -5.8905 -1.8980 -11.4056
Hf 0.0000 0.0000 0.0000
Hf -5.7839 -0.4587 -5.8333
CELL_PARAMETERS angstrom
-6.5179 1.6978 -2.6687
2.3231 -1.5786 -6.6782
-2.9525 -2.6748 -4.3245

---

! MgTl3Si (GGA-PBE, relaxed); values from VASP
! Energy above the most stable polymorph in this dataset = 1.40 eV/f.u.
! N(E_F) = 1.30 states/eV/atom
! Total magnetic moment = 0.00 μB per atom
! Symmetry = Pm-3m, No. 221
! Uncorrected formation energy = 705.7 meV/atom
&SYSTEM
  ibrav = 0, nat = 5, ntyp = 3
/
ATOMIC_SPECIES
Mg 24.30 Mg.upf
Tl 204.38 Tl.upf
Si 28.09 Si.upf
ATOMIC_POSITIONS angstrom
Mg 0.0000 0.0000 0.0000
Tl 1.0029 -0.3800 -2.5036
Tl -1.3664 -2.3484 -0.1908
Tl -2.1320 1.3262 -1.0553
Si -2.4955 -1.4022 -3.7498
CELL_PARAMETERS angstrom
-4.2641 2.6525 -2.1107
2.0057 -0.7601 -5.0072
-2.7327 -4.6968 -0.3817

---

! PRh3Br (GGA-PBE, relaxed); values from VASP
! Energy above the most stable polymorph in this dataset = 0.00 eV/f.u.
! N(E_F) = 1.07 states/eV/atom
! Total magnetic moment = 0.21 μB per atom
! Symmetry = Pm-3m, No. 221
! Uncorrected formation energy = 303.6 meV/atom
&SYSTEM
  ibrav = 0, nat = 5, ntyp = 3
/
ATOMIC_SPECIES
P 30.97 P.upf
Rh 102.91 Rh.upf
Br 79.90 Br.upf
ATOMIC_POSITIONS angstrom
P 0.0000 0.0000 0.0000
Rh 0.9324 -1.3774 -1.4932
Rh 1.8314 -0.1410 1.2737
Rh -0.8791 -1.7547 1.0698
Br 1.8847 -3.2732 0.8502
CELL_PARAMETERS angstrom
-1.7582 -3.5095 2.1395
1.8648 -2.7549 -2.9864
3.6629 -0.2821 2.5473